1.
Density functional theory data (PBE-GGA) for a relaxed Sm4Ge2Bi crystal.

- DFT formation energy (eV per atom) = -0.672
- DOS(E_F) (states/eV per cell) = 11.45
- magnetic moment (μB/cell) = 0.001
- E_tot (eV per atom) = -5.2420
- space group = I4_1/amd

Cell: 8.337 8.337 8.337 Å, 109.48 109.48 109.45°
Atoms (fractional coordinates):
Sm: 0.210 0.279 0.569
Sm: 0.210 0.641 0.931
Sm: 0.279 0.210 0.069
Sm: 0.359 0.790 0.569
Sm: 0.641 0.210 0.431
Sm: 0.721 0.790 0.931
Sm: 0.790 0.359 0.069
Sm: 0.790 0.721 0.431
Ge: 0.000 0.500 0.500
Ge: 0.500 0.000 0.000
Ge: 0.500 0.500 0.000
Ge: 0.500 0.500 0.500
Bi: 0.125 0.875 0.250
Bi: 0.875 0.125 0.750

***

2.
Density functional theory data (PBE-GGA) for a relaxed YMgMn2 crystal.

- DFT formation energy (eV per atom) = 0.301
- DOS(E_F) (states/eV per cell) = 4.43
- magnetic moment (μB/cell) = 6.248
- E_tot (eV per atom) = -6.2985
- space group = I-4m2

Cell: 5.315 5.315 5.315 Å, 133.36 133.36 68.09°
Atoms (fractional coordinates):
Y: 0.000 0.000 0.000
Mg: 0.250 0.750 0.500
Mn: 0.500 0.500 0.000
Mn: 0.750 0.250 0.500

***

3.
Density functional theory data (PBE-GGA) for a relaxed CeHoCuTc crystal.

- DFT formation energy (eV per atom) = -0.094
- DOS(E_F) (states/eV per cell) = 4.24
- magnetic moment (μB/cell) = 0.012
- E_tot (eV per atom) = -6.3372
- space group = F-43m

Cell: 4.885 4.885 4.885 Å, 60.00 60.00 60.00°
Atoms (fractional coordinates):
Ce: 0.000 0.000 0.000
Ho: 0.500 0.500 0.500
Cu: 0.750 0.750 0.750
Tc: 0.250 0.250 0.250

***

4.
Density functional theory data (PBE-GGA) for a relaxed La6Pr2DyMg crystal.

- DFT formation energy (eV per atom) = 0.085
- DOS(E_F) (states/eV per cell) = 31.40
- magnetic moment (μB/cell) = 0.000
- E_tot (eV per atom) = -4.4470
- space group = C2/c

Cell: 8.771 8.771 9.539 Å, 95.05 95.05 104.64°
Atoms (fractional coordinates):
La: 0.041 0.467 0.675
La: 0.067 0.822 0.901
La: 0.178 0.933 0.599
La: 0.245 0.580 0.082
La: 0.420 0.755 0.418
La: 0.467 0.041 0.175
La: 0.533 0.959 0.825
La: 0.580 0.245 0.582
La: 0.755 0.420 0.918
La: 0.822 0.067 0.401
La: 0.933 0.178 0.099
La: 0.959 0.533 0.325
Pr: 0.235 0.300 0.409
Pr: 0.300 0.235 0.909
Pr: 0.700 0.765 0.091
Pr: 0.765 0.700 0.591
Dy: 0.430 0.570 0.750
Dy: 0.570 0.430 0.250
Mg: 0.096 0.904 0.250
Mg: 0.904 0.096 0.750

***

5.
Density functional theory data (PBE-GGA) for a relaxed Na3Hg2IrO6 crystal.

- raw formation energy (eV/f.u.) = -11.1
- DOS(E_F) (states/eV per cell) = 5.49
- magnetic moment (μB/cell) = 1.458
- E_tot (eV per atom) = -4.5233
- space group = C2/m

Cell: 5.968 5.968 5.729 Å, 101.62 101.62 118.67°
Atoms (fractional coordinates):
Na: 0.000 0.000 0.000
Na: 0.333 0.667 0.000
Na: 0.667 0.333 0.000
Hg: 0.169 0.831 0.500
Hg: 0.831 0.169 0.500
Ir: 0.500 0.500 0.500
O: 0.156 0.434 0.276
O: 0.295 0.295 0.694
O: 0.434 0.156 0.276
O: 0.566 0.844 0.724
O: 0.705 0.705 0.306
O: 0.844 0.566 0.724

***

6.
Density functional theory data (PBE-GGA) for a relaxed TaCdAu crystal.

- DFT formation energy (eV per atom) = 0.042
- DOS(E_F) (states/eV per cell) = 2.27
- magnetic moment (μB/cell) = 0.000
- E_tot (eV per atom) = -5.3064
- space group = I4mm

Cell: 6.644 6.644 6.644 Å, 154.05 154.05 37.03°
Atoms (fractional coordinates):
Ta: 0.000 0.000 0.000
Cd: 0.326 0.326 0.000
Au: 0.654 0.654 0.000

***

7.
Density functional theory data (PBE-GGA) for a relaxed ZnS2O crystal.

- raw formation energy (eV/f.u.) = 3.2
- DOS(E_F) (states/eV per cell) = 3.01
- magnetic moment (μB/cell) = 0.000
- E_tot (eV per atom) = -2.8151
- space group = R-3m

Cell: 8.270 8.270 8.270 Å, 19.74 19.74 19.74°
Atoms (fractional coordinates):
Zn: 0.000 0.000 0.000
S: 0.100 0.100 0.100
S: 0.900 0.900 0.900
O: 0.500 0.500 0.500

***

8.
Density functional theory data (PBE-GGA) for a relaxed Tl5AsCl8 crystal.

- raw formation energy (eV/f.u.) = -12.4
- DOS(E_F) (states/eV per cell) = 0.00
- magnetic moment (μB/cell) = 0.000
- E_tot (eV per atom) = -3.1150
- space group = I-4

Cell: 9.168 9.168 9.168 Å, 119.85 119.85 90.26°
Atoms (fractional coordinates):
Tl: 0.000 0.000 0.000
Tl: 0.370 0.115 0.741
Tl: 0.372 0.630 0.746
Tl: 0.374 0.628 0.259
Tl: 0.885 0.626 0.254
As: 0.750 0.250 0.500
Cl: 0.069 0.359 0.716
Cl: 0.136 0.860 0.720
Cl: 0.140 0.417 0.280
Cl: 0.140 0.860 0.277
Cl: 0.583 0.864 0.723
Cl: 0.641 0.357 0.710
Cl: 0.643 0.353 0.284
Cl: 0.647 0.931 0.290

***

9.
Density functional theory data (PBE-GGA) for a relaxed CaZnIn2Au5 crystal.

- DFT formation energy (eV per atom) = -0.246
- DOS(E_F) (states/eV per cell) = 4.09
- magnetic moment (μB/cell) = 0.000
- E_tot (eV per atom) = -3.0388
- space group = Immm

Cell: 8.361 8.361 8.361 Å, 146.04 139.31 54.01°
Atoms (fractional coordinates):
Ca: 0.000 0.000 0.000
Zn: 0.500 0.500 0.000
In: 0.308 0.808 0.500
In: 0.692 0.192 0.500
Au: 0.096 0.357 0.739
Au: 0.381 0.643 0.739
Au: 0.500 0.000 0.500
Au: 0.619 0.357 0.261
Au: 0.904 0.643 0.261

***

10.
Density functional theory data (PBE-GGA) for a relaxed Li2TbMgAu2 crystal.

- DFT formation energy (eV per atom) = -0.549
- DOS(E_F) (states/eV per cell) = 2.68
- magnetic moment (μB/cell) = 0.000
- E_tot (eV per atom) = -3.3170
- space group = P-3m1

Cell: 4.516 4.516 6.568 Å, 90.00 90.00 120.00°
Atoms (fractional coordinates):
Li: 0.333 0.667 0.183
Li: 0.667 0.333 0.817
Tb: 0.000 0.000 0.500
Mg: 0.000 0.000 0.000
Au: 0.333 0.667 0.765
Au: 0.667 0.333 0.235

***

11.
Density functional theory data (PBE-GGA) for a relaxed TcAs2Se crystal.

- raw formation energy (eV/f.u.) = 0.1
- DOS(E_F) (states/eV per cell) = 2.74
- magnetic moment (μB/cell) = 0.000
- E_tot (eV per atom) = -5.7548
- space group = R3m

Cell: 9.041 9.041 9.041 Å, 20.49 20.49 20.49°
Atoms (fractional coordinates):
Tc: 0.000 0.000 0.000
As: 0.478 0.478 0.478
As: 0.739 0.739 0.739
Se: 0.272 0.272 0.272

***

12.
Density functional theory data (PBE-GGA) for a relaxed CeMgAl2Pt2 crystal.

- DFT formation energy (eV per atom) = -0.923
- DOS(E_F) (states/eV per cell) = 7.54
- magnetic moment (μB/cell) = 0.755
- E_tot (eV per atom) = -5.4389
- space group = P-3m1

Cell: 4.423 4.423 6.761 Å, 90.00 90.00 120.00°
Atoms (fractional coordinates):
Ce: 0.000 0.000 0.000
Mg: 0.000 0.000 0.500
Al: 0.333 0.667 0.686
Al: 0.667 0.333 0.314
Pt: 0.333 0.667 0.283
Pt: 0.667 0.333 0.717

***

13.
Density functional theory data (PBE-GGA) for a relaxed ZrV4Ru crystal.

- DFT formation energy (eV per atom) = -0.039
- DOS(E_F) (states/eV per cell) = 4.22
- magnetic moment (μB/cell) = 0.000
- E_tot (eV per atom) = -9.0888
- space group = F-43m

Cell: 5.037 5.037 5.037 Å, 60.00 60.00 60.00°
Atoms (fractional coordinates):
Zr: 0.000 0.000 0.000
V: 0.126 0.625 0.625
V: 0.625 0.126 0.625
V: 0.625 0.625 0.126
V: 0.625 0.625 0.625
Ru: 0.250 0.250 0.250

***

14.
Density functional theory data (PBE-GGA) for a relaxed ZrIrCl2 crystal.

- raw formation energy (eV/f.u.) = -2.1
- DOS(E_F) (states/eV per cell) = 2.33
- magnetic moment (μB/cell) = 0.075
- E_tot (eV per atom) = -5.7931
- space group = Immm

Cell: 7.821 7.821 7.821 Å, 156.17 146.97 41.14°
Atoms (fractional coordinates):
Zr: 0.000 0.000 0.000
Ir: 0.500 0.500 0.000
Cl: 0.141 0.641 0.500
Cl: 0.859 0.359 0.500

***

15.
Density functional theory data (PBE-GGA) for a relaxed K2Y crystal.

- DFT formation energy (eV per atom) = 0.453
- DOS(E_F) (states/eV per cell) = 3.92
- magnetic moment (μB/cell) = 0.430
- E_tot (eV per atom) = -2.4332
- space group = I4/mmm

Cell: 10.973 10.973 10.973 Å, 160.31 160.31 27.99°
Atoms (fractional coordinates):
K: 0.154 0.154 0.000
K: 0.846 0.846 0.000
Y: 0.500 0.500 0.000

***

16.
Density functional theory data (PBE-GGA) for a relaxed Li2YOs crystal.

- DFT formation energy (eV per atom) = 0.547
- DOS(E_F) (states/eV per cell) = 3.11
- magnetic moment (μB/cell) = 0.000
- E_tot (eV per atom) = -4.8334
- space group = Cmmm

Cell: 2.777 2.777 10.271 Å, 90.00 90.00 113.65°
Atoms (fractional coordinates):
Li: 0.000 0.000 0.211
Li: 0.000 0.000 0.789
Y: 0.500 0.500 0.500
Os: 0.500 0.500 0.000

***

17.
Density functional theory data (PBE-GGA) for a relaxed Mg2ScV crystal.

- DFT formation energy (eV per atom) = 0.281
- DOS(E_F) (states/eV per cell) = 5.01
- magnetic moment (μB/cell) = 3.068
- E_tot (eV per atom) = -4.3785
- space group = Fm-3m

Cell: 4.893 4.893 4.893 Å, 60.00 60.00 60.00°
Atoms (fractional coordinates):
Mg: 0.250 0.250 0.250
Mg: 0.750 0.750 0.750
Sc: 0.000 0.000 0.000
V: 0.500 0.500 0.500

***

18.
Density functional theory data (PBE-GGA) for a relaxed PrSm3DyTh crystal.

- DFT formation energy (eV per atom) = 0.030
- DOS(E_F) (states/eV per cell) = 17.72
- magnetic moment (μB/cell) = 0.000
- E_tot (eV per atom) = -5.1295
- space group = P2_1/m

Cell: 8.103 5.122 10.255 Å, 90.00 108.63 90.00°
Atoms (fractional coordinates):
Pr: 0.170 0.250 0.292
Pr: 0.830 0.750 0.708
Sm: 0.172 0.750 0.545
Sm: 0.178 0.750 0.044
Sm: 0.179 0.250 0.795
Sm: 0.821 0.750 0.205
Sm: 0.822 0.250 0.956
Sm: 0.828 0.250 0.455
Dy: 0.500 0.250 0.628
Dy: 0.500 0.750 0.372
Th: 0.499 0.750 0.878
Th: 0.501 0.250 0.122

***

19.
Density functional theory data (PBE-GGA) for a relaxed NdHo7Er3 crystal.

- DFT formation energy (eV per atom) = 0.262
- DOS(E_F) (states/eV per cell) = 17.30
- magnetic moment (μB/cell) = 0.000
- E_tot (eV per atom) = -4.3289
- space group = Immm

Cell: 8.372 8.372 8.372 Å, 139.80 97.02 96.54°
Atoms (fractional coordinates):
Nd: 0.000 0.000 0.000
Ho: 0.000 0.500 0.500
Ho: 0.099 0.305 0.794
Ho: 0.294 0.000 0.294
Ho: 0.489 0.695 0.794
Ho: 0.511 0.305 0.206
Ho: 0.706 0.000 0.706
Ho: 0.901 0.695 0.206
Er: 0.295 0.795 0.500
Er: 0.500 0.500 0.000
Er: 0.705 0.205 0.500

***

20.
Density functional theory data (PBE-GGA) for a relaxed TlCuPb2 crystal.

- DFT formation energy (eV per atom) = 0.303
- DOS(E_F) (states/eV per cell) = 1.87
- magnetic moment (μB/cell) = 0.000
- E_tot (eV per atom) = -3.1664
- space group = Pmmm

Cell: 3.718 5.261 5.553 Å, 90.00 90.00 90.00°
Atoms (fractional coordinates):
Tl: 0.000 0.000 0.000
Cu: 0.500 0.000 0.500
Pb: 0.000 0.500 0.500
Pb: 0.500 0.500 0.000